Entry 1:
! Tm (PBE, relaxed); values from VASP
! - DFT total energy: -0.32875 Ry/atom
! - Spin magnetization: 0.04 μB per cell
! - DFT formation energy: 2 meV/atom
! - Offset from the most stable computed form: 0.002 eV/f.u.
&SYSTEM
  ibrav = 0, nat = 2, ntyp = 1
/
ATOMIC_SPECIES
Tm 168.93 Tm.upf
CELL_PARAMETERS angstrom
-1.761 -2.405 1.830
1.586 -3.070 0.834
1.838 2.225 4.692
ATOMIC_POSITIONS crystal
Tm 0.166 0.669 0.750
Tm 0.834 0.331 0.250

***

Entry 2:
! NdAlGeAu2 (PBE, relaxed); values from VASP
! - DFT total energy: -0.33974 Ry/atom
! - Spin magnetization: 0.01 μB per cell
! - Offset from the most stable computed form: 0.000 eV/f.u.
&SYSTEM
  ibrav = 0, nat = 10, ntyp = 4
/
ATOMIC_SPECIES
Au 196.97 Au.upf
Nd 144.24 Nd.upf
Ge 72.64 Ge.upf
Al 26.98 Al.upf
CELL_PARAMETERS angstrom
4.358 0.000 0.000
0.000 4.358 0.000
0.000 0.000 10.871
ATOMIC_POSITIONS crystal
Au 0.000 0.000 0.000
Au 0.000 0.500 0.627
Au 0.500 0.000 0.373
Au 0.500 0.500 0.000
Nd 0.500 0.000 0.760
Nd 0.000 0.500 0.240
Ge 0.500 0.000 0.141
Ge 0.000 0.500 0.859
Al 0.000 0.000 0.500
Al 0.500 0.500 0.500

***

Entry 3:
! MgNbReSn (PBE, relaxed); values from VASP
! - DFT total energy: -0.51280 Ry/atom
! - Spin magnetization: 0.00 μB per cell
! - Offset from the most stable computed form: 0.000 eV/f.u.
&SYSTEM
  ibrav = 0, nat = 4, ntyp = 4
/
ATOMIC_SPECIES
Mg 24.30 Mg.upf
Re 186.21 Re.upf
Nb 92.91 Nb.upf
Sn 118.71 Sn.upf
CELL_PARAMETERS angstrom
0.000 3.266 3.266
3.266 0.000 3.266
3.266 3.266 0.000
ATOMIC_POSITIONS crystal
Mg 0.750 0.750 0.750
Re 0.250 0.250 0.250
Nb 0.500 0.500 0.500
Sn 0.000 0.000 0.000

***

Entry 4:
! ZrZn2Ga (PBE, relaxed); values from VASP
! - DFT total energy: -0.26538 Ry/atom
! - Spin magnetization: 0.01 μB per cell
&SYSTEM
  ibrav = 0, nat = 4, ntyp = 3
/
ATOMIC_SPECIES
Zr 91.22 Zr.upf
Ga 69.72 Ga.upf
Zn 65.41 Zn.upf
CELL_PARAMETERS angstrom
0.000 3.238 3.238
3.238 0.000 3.238
3.238 3.238 0.000
ATOMIC_POSITIONS crystal
Zr 0.250 0.250 0.250
Ga 0.500 0.500 0.500
Zn 0.750 0.750 0.750
Zn 0.000 0.000 0.000

***

Question: Look up the DFT total energy of the first one.
Answer: -0.32875 Ry/atom